This record from the Alexandria database describes a geometry-optimized NdHo6Sc12 structure. The functional is PBE.

Cell and atoms, written as CIF:
```
data_NdHo6Sc12
_cell_length_a 8.073
_cell_length_b 8.073
_cell_length_c 8.073
_cell_angle_alpha 91.36
_cell_angle_beta 91.36
_cell_angle_gamma 91.36
_symmetry_space_group_name_H-M 'P 1'
_symmetry_Int_Tables_number 1
_symmetry_space_group_name_Hall 'P 1'
loop_
_atom_site_label
_atom_site_type_symbol
_atom_site_fract_x
_atom_site_fract_y
_atom_site_fract_z
Nd1 Nd 0.000 0.000 0.000
Ho1 Ho 0.723 0.842 0.244
Ho2 Ho 0.756 0.277 0.158
Ho3 Ho 0.158 0.756 0.277
Ho4 Ho 0.277 0.158 0.756
Ho5 Ho 0.244 0.723 0.842
Ho6 Ho 0.842 0.244 0.723
Sc1 Sc 0.793 0.529 0.479
Sc2 Sc 0.479 0.793 0.529
Sc3 Sc 0.529 0.479 0.793
Sc4 Sc 0.207 0.471 0.521
Sc5 Sc 0.521 0.207 0.471
Sc6 Sc 0.471 0.521 0.207
Sc7 Sc 0.085 0.137 0.389
Sc8 Sc 0.863 0.611 0.915
Sc9 Sc 0.611 0.915 0.863
Sc10 Sc 0.915 0.863 0.611
Sc11 Sc 0.137 0.389 0.085
Sc12 Sc 0.389 0.085 0.137
```

Computed properties:
Energy relative to the elements: 388 kJ/mol of formula units
Crystal system: trigonal